No. 1
An optimized crystal structure of NaCd4Ni. Source: Alexandria, functional PBE.

abc: 14.1840 7.0852 5.4704
angles: 90.00 112.06 90.00
Space group C2/m (No. 12)
Symmetry-distinct sites (fractional):
Na (0.2060, 0.0000, 0.2059)
Cd (0.0000, 0.1982, 0.0000)
Cd (0.1177, 0.2226, 0.6173)
Cd (0.1758, 0.5000, 0.1761)
Ni (0.0003, 0.5000, 0.2798)

## Properties
- E_tot (eV/atom) = -1.8211
- ΔH_f (0 K) (eV/atom) = -0.028
- energy relative to the lowest polymorph listed for this composition (meV/atom) = 0
- spin magnetization (μB/atom) = 0.00

No. 2
An optimized crystal structure of Ac2SmNpN4. Source: Alexandria, functional PBE.

abc: 6.2650 3.6557 6.4799
angles: 90.00 108.52 90.00
Space group P2/m (No. 10)
Symmetry-distinct sites (fractional):
Ac (0.0000, 0.0000, 0.0000)
Ac (0.5000, 0.5000, 0.0000)
Sm (0.0000, 0.5000, 0.5000)
Np (0.5000, 0.0000, 0.5000)
N (0.2681, 0.0000, 0.7029)
N (0.2817, 0.5000, 0.2964)

## Properties
- E_tot (eV/atom) = -8.5556
- spin magnetization (μB/atom) = 0.30

No. 3
An optimized crystal structure of Li2Zn2GaNi5. Source: Alexandria, functional PBE.

abc: 8.2828 8.2828 3.7478
angles: 90.00 90.00 90.00
Space group P4/mbm (No. 127)
Symmetry-distinct sites (fractional):
Li (0.1712, 0.3288, 0.0000)
Zn (0.1264, 0.6264, 0.0000)
Ga (0.0000, 0.0000, 0.0000)
Ni (0.0000, 0.5000, 0.5000)
Ni (0.0746, 0.8039, 0.5000)

## Properties
- E_tot (eV/atom) = -3.9430
- ΔH_f (0 K) (eV/atom) = -0.112
- spin magnetization (μB/atom) = 0.00